## Zn2Cr5P6O24 (PBE+U)

Data for crystalline Zn2Cr5P6O24 at its relaxed geometry.

abc: 6.3836 7.9842 9.4662
angles: 105.56 107.65 101.56
Each line ends with the local moment (μB).
Atoms (fractional coordinates):
1 Zn 0.2938 0.3097 0.8013  0.01
2 Zn 0.7062 0.6903 0.1987  0.01
3 Cr 0.0439 0.2143 0.0237  2.94
4 Cr 0.9561 0.7857 0.9763  2.94
5 Cr 0.0000 0.5000 0.5000  3.79
6 Cr 0.6210 0.0448 0.3924  2.95
7 Cr 0.3790 0.9552 0.6076  2.95
8 P 0.2237 0.6492 0.2630  0.01
9 P 0.7763 0.3508 0.7370  0.01
10 P 0.6008 0.2668 0.1312  0.00
11 P 0.3992 0.7332 0.8688  0.00
12 P 0.0966 0.0972 0.3337  0.01
13 P 0.9034 0.9028 0.6663  0.01
14 O 0.1183 0.0310 0.6593  -0.02
15 O 0.8817 0.9690 0.3407  -0.02
16 O 0.0750 0.0498 0.1566  -0.02
17 O 0.9250 0.9502 0.8434  -0.02
18 O 0.3149 0.0446 0.4196  -0.03
19 O 0.6851 0.9554 0.5804  -0.03
20 O 0.2053 0.4495 0.1989  -0.01
21 O 0.7947 0.5505 0.8011  -0.01
22 O 0.1222 0.2933 0.4144  -0.01
23 O 0.8778 0.7067 0.5856  -0.01
24 O 0.4550 0.7697 0.2687  -0.01
25 O 0.5450 0.2303 0.7313  -0.01
26 O 0.2186 0.6991 0.4344  -0.02
27 O 0.7814 0.3009 0.5656  -0.02
28 O 0.5569 0.1456 0.2261  0.02
29 O 0.4431 0.8544 0.7739  0.02
30 O 0.0171 0.6922 0.1557  -0.01
31 O 0.9829 0.3078 0.8443  -0.01
32 O 0.7444 0.2080 0.0354  0.01
33 O 0.2556 0.7920 0.9646  0.01
34 O 0.3601 0.2473 0.0043  -0.02
35 O 0.6399 0.7527 0.9957  -0.02
36 O 0.7139 0.4681 0.2474  0.01
37 O 0.2861 0.5319 0.7526  0.01

Computed properties:
total magnetic moment: 16.0 μB per formula unit
crystal system: triclinic
VASP energy: -7.2516 eV/atom